Record 1
SiMo3Se: relaxed, GGA-PBE.

Output
**Energy above the most stable polymorph in this dataset**: 0.0 meV per atom
**E_form (uncorrected)**: 110.92 kJ per mole of atoms
**SG**: Pm-3m (221)
**Size of the total moment**: 0.000 μB per atom

abc: 4.550 4.550 4.550
angles: 90.00 90.00 90.00
Atoms (fractional coordinates):
Se: 0.500 0.500 0.500
Si: 0.000 0.000 0.000
Mo: 0.000 0.500 0.000
Mo: 0.500 0.000 0.000
Mo: 0.000 0.000 0.500

Record 2
Tb2Pr4Y3: relaxed, GGA-PBE.

Output
**Energy above the most stable polymorph in this dataset**: 117.4 meV per atom
**SG**: C2/c (15)
**Calculated formation energy**: 134 meV/atom
**Size of the total moment**: 0.000 μB per atom

abc: 6.448 9.962 9.962
angles: 74.22 93.55 93.55
Atoms (fractional coordinates):
Tb: 0.898 0.367 0.130
Tb: 0.602 0.870 0.633
Tb: 0.398 0.130 0.367
Tb: 0.102 0.633 0.870
Pr: 0.581 0.531 0.816
Pr: 0.419 0.469 0.184
Pr: 0.973 0.308 0.817
Pr: 0.027 0.692 0.183
Pr: 0.473 0.817 0.308
Pr: 0.919 0.184 0.469
Pr: 0.081 0.816 0.531
Pr: 0.527 0.183 0.692
Y: 0.419 0.177 0.022
Y: 0.919 0.022 0.177
Y: 0.750 0.524 0.476
Y: 0.581 0.823 0.978
Y: 0.081 0.978 0.823
Y: 0.250 0.476 0.524